Record 1
# PBE Cs2Rb2SbO4, relaxed
# - total DFT energy (no corrections) (hartree per atom) = -0.146
data_Cs2Rb2SbO4
_cell_length_a 6.760
_cell_length_b 6.760
_cell_length_c 9.706
_cell_angle_alpha 90.00
_cell_angle_beta 90.00
_cell_angle_gamma 90.00
_symmetry_space_group_name_H-M 'I 4/m m m'
_symmetry_Int_Tables_number 139
_symmetry_space_group_name_Hall '-I 4 2'
loop_
_atom_site_label
_atom_site_type_symbol
_atom_site_fract_x
_atom_site_fract_y
_atom_site_fract_z
_atom_site_occupancy
Cs1 Cs 0.000 0.000 0.160 1
Rb1 Rb 0.000 0.500 0.250 1
Sb1 Sb 0.000 0.000 0.500 1
O1 O 0.215 0.215 0.500 1



Record 2
# PBE Cs3RbSb2O6, relaxed
# - total DFT energy (no corrections) (hartree per atom) = -0.177
data_Cs3RbSb2O6
_cell_length_a 6.9326
_cell_length_b 6.9326
_cell_length_c 8.0716
_cell_angle_alpha 90.00
_cell_angle_beta 90.00
_cell_angle_gamma 120.00
_symmetry_space_group_name_H-M 'P -3 m 1'
_symmetry_Int_Tables_number 164
_symmetry_space_group_name_Hall '-P 3 2"'
loop_
_atom_site_label
_atom_site_type_symbol
_atom_site_fract_x
_atom_site_fract_y
_atom_site_fract_z
_atom_site_occupancy
Cs1 Cs 0.0000 0.0000 0.0000 1
Cs2 Cs 0.3333 0.6667 0.6538 1
Rb1 Rb 0.0000 0.0000 0.5000 1
Sb1 Sb 0.3333 0.6667 0.1920 1
O1 O 0.1846 0.3692 0.2789 1



Record 3
# PBE Cs2RbSbO4, relaxed
# - total DFT energy (no corrections) (hartree per atom) = -0.176
data_Cs2RbSbO4
_cell_length_a 7.507
_cell_length_b 7.507
_cell_length_c 7.308
_cell_angle_alpha 90.00
_cell_angle_beta 90.00
_cell_angle_gamma 90.00
_symmetry_space_group_name_H-M 'I -4 2 m'
_symmetry_Int_Tables_number 121
_symmetry_space_group_name_Hall 'I -4 2'
loop_
_atom_site_label
_atom_site_type_symbol
_atom_site_fract_x
_atom_site_fract_y
_atom_site_fract_z
_atom_site_occupancy
Cs1 Cs 0.000 0.500 0.000 1
Rb1 Rb 0.000 0.000 0.000 1
Sb1 Sb 0.000 0.000 0.500 1
O1 O 0.146 0.146 0.344 1



Record 4
# PBE CsRb2Se2O6, relaxed
# - total DFT energy (no corrections) (hartree per atom) = -0.178
data_CsRb2Se2O6
_cell_length_a 6.3083
_cell_length_b 6.3083
_cell_length_c 23.2027
_cell_angle_alpha 90.00
_cell_angle_beta 90.00
_cell_angle_gamma 120.00
_symmetry_space_group_name_H-M 'R -3 m'
_symmetry_Int_Tables_number 166
_symmetry_space_group_name_Hall '-R 3 2"'
loop_
_atom_site_label
_atom_site_type_symbol
_atom_site_fract_x
_atom_site_fract_y
_atom_site_fract_z
_atom_site_occupancy
Cs1 Cs 0.0000 0.0000 0.0000 1
Rb1 Rb 0.0000 0.0000 0.1931 1
Se1 Se 0.0000 0.0000 0.4079 1
O1 O 0.0415 0.5208 0.2327 1



Record 5
# PBE CsRbSe2O6, relaxed
# - total DFT energy (no corrections) (hartree per atom) = -0.182
data_CsRbSe2O6
_cell_length_a 11.471
_cell_length_b 11.920
_cell_length_c 6.858
_cell_angle_alpha 90.00
_cell_angle_beta 104.10
_cell_angle_gamma 90.00
_symmetry_space_group_name_H-M 'C 1 2/c 1'
_symmetry_Int_Tables_number 15
loop_
_symmetry_equiv_pos_as_xyz
'x,y,z'
'-x,-y,-z'
'-x,y,-z+1/2'
'x,-y,z+1/2'
'x+1/2,y+1/2,z'
'-x+1/2,-y+1/2,-z'
'-x+1/2,y+1/2,-z+1/2'
'x+1/2,-y+1/2,z+1/2'
loop_
_atom_site_label
_atom_site_type_symbol
_atom_site_fract_x
_atom_site_fract_y
_atom_site_fract_z
_atom_site_occupancy
Cs1 Cs 0.000 0.188 0.250 1
Rb1 Rb 0.000 0.386 0.750 1
Se1 Se 0.219 0.076 0.771 1
O1 O 0.131 0.413 0.171 1
O2 O 0.157 0.201 0.699 1
O3 O 0.175 0.020 0.075 1



Record 6
# PBE Cs2RbSiO4, relaxed
# - total DFT energy (no corrections) (hartree per atom) = -0.191
data_Cs2RbSiO4
_cell_length_a 6.508
_cell_length_b 11.937
_cell_length_c 26.998
_cell_angle_alpha 90.00
_cell_angle_beta 90.00
_cell_angle_gamma 90.00
_symmetry_space_group_name_H-M 'F d d d'
_symmetry_Int_Tables_number 70
loop_
_symmetry_equiv_pos_as_xyz
'x,y,z'
'-x,-y,-z'
'-x+1/4,-y+1/4,z'
'x+1/4,y+1/4,-z'
'x,-y+1/4,-z+1/4'
'-x,y+1/4,z+1/4'
'-x+1/4,y,-z+1/4'
'x+1/4,-y,z+1/4'
'x,y+1/2,z+1/2'
'-x,-y+1/2,-z+1/2'
'-x+1/4,-y+3/4,z+1/2'
'x+1/4,y+3/4,-z+1/2'
'x,-y+3/4,-z+3/4'
'-x,y+3/4,z+3/4'
'-x+1/4,y+1/2,-z+3/4'
'x+1/4,-y+1/2,z+3/4'
'x+1/2,y,z+1/2'
'-x+1/2,-y,-z+1/2'
'-x+3/4,-y+1/4,z+1/2'
'x+3/4,y+1/4,-z+1/2'
'x+1/2,-y+1/4,-z+3/4'
'-x+1/2,y+1/4,z+3/4'
'-x+3/4,y,-z+3/4'
'x+3/4,-y,z+3/4'
'x+1/2,y+1/2,z'
'-x+1/2,-y+1/2,-z'
'-x+3/4,-y+3/4,z'
'x+3/4,y+3/4,-z'
'x+1/2,-y+3/4,-z+1/4'
'-x+1/2,y+3/4,z+1/4'
'-x+3/4,y+1/2,-z+1/4'
'x+3/4,-y+1/2,z+1/4'
loop_
_atom_site_label
_atom_site_type_symbol
_atom_site_fract_x
_atom_site_fract_y
_atom_site_fract_z
_atom_site_occupancy
Cs1 Cs 0.125 0.125 0.321 1
Rb1 Rb 0.125 0.125 0.125 1
Si1 Si 0.125 0.125 0.625 1
O1 O 0.018 0.287 0.842 1



Record 7
# PBE CsRbSnO3, relaxed
# - total DFT energy (no corrections) (hartree per atom) = -0.185
data_CsRbSnO3
_cell_length_a 6.750
_cell_length_b 13.228
_cell_length_c 5.942
_cell_angle_alpha 90.00
_cell_angle_beta 98.68
_cell_angle_gamma 90.00
_symmetry_space_group_name_H-M 'C 1 2/c 1'
_symmetry_Int_Tables_number 15
loop_
_symmetry_equiv_pos_as_xyz
'x,y,z'
'-x,-y,-z'
'-x,y,-z+1/2'
'x,-y,z+1/2'
'x+1/2,y+1/2,z'
'-x+1/2,-y+1/2,-z'
'-x+1/2,y+1/2,-z+1/2'
'x+1/2,-y+1/2,z+1/2'
loop_
_atom_site_label
_atom_site_type_symbol
_atom_site_fract_x
_atom_site_fract_y
_atom_site_fract_z
_atom_site_occupancy
Cs1 Cs 0.000 0.245 0.250 1
Rb1 Rb 0.000 0.410 0.750 1
Sn1 Sn 0.000 0.050 0.750 1
O1 O 0.000 0.199 0.750 1
O2 O 0.192 0.029 0.493 1



Record 8
# PBE CsRb2Sn3O8, relaxed
# - total DFT energy (no corrections) (hartree per atom) = -0.197
data_CsRb2Sn3O8
_cell_length_a 6.5677
_cell_length_b 6.5677
_cell_length_c 20.7983
_cell_angle_alpha 90.00
_cell_angle_beta 90.00
_cell_angle_gamma 120.00
_symmetry_space_group_name_H-M 'R 3 m'
_symmetry_Int_Tables_number 160
_symmetry_space_group_name_Hall 'R 3 -2"'
loop_
_atom_site_label
_atom_site_type_symbol
_atom_site_fract_x
_atom_site_fract_y
_atom_site_fract_z
_atom_site_occupancy
Cs1 Cs 0.0000 0.0000 0.0000 1
Rb1 Rb 0.0000 0.0000 0.3661 1
Rb2 Rb 0.0000 0.0000 0.7365 1
Sn1 Sn 0.1670 0.3341 0.1987 1
O1 O 0.0000 0.0000 0.1435 1
O2 O 0.0000 0.0000 0.5888 1
O3 O 0.0391 0.5196 0.1468 1
O4 O 0.1883 0.3765 0.9179 1



Which formula does entry 6 have?
Cs2RbSiO4



Number 5 is which compound?
CsRbSe2O6